Record 1
BaCrTc2 after structural relaxation. Source: Alexandria via LeMat-Bulk, functional GGA-PBE.

Lattice parameters (Å, degrees): 5.835 9.433 3.003 90.00 113.61 90.00
Sites, in units of the cell vectors:
Ba 0.000 0.000 0.000
Ba 0.500 0.500 0.000
Cr 0.000 0.500 0.000
Cr 0.500 0.000 0.000
Tc 0.250 0.250 0.500
Tc 0.250 0.750 0.500
Tc 0.750 0.250 0.500
Tc 0.750 0.750 0.500

Calculated values
Energy relative to the lowest polymorph listed for this composition: 756 meV per atom
Space-group type: No. 12
Size of the total moment: 1.6 μB per formula unit
ΔH_f (0 K): 1.312 eV/atom
Total DFT energy (no corrections): -54.1 eV/cell

=====

Record 2
ZrBRu3 after structural relaxation. Source: Alexandria via LeMat-Bulk, functional GGA-PBE.

Lattice parameters (Å, degrees): 7.277 4.882 10.615 90.00 132.05 90.00
Sites, in units of the cell vectors:
Zr 0.145 0.164 0.445
Zr 0.145 0.336 0.945
Zr 0.855 0.664 0.055
Zr 0.855 0.836 0.555
B 0.443 0.075 0.398
B 0.443 0.425 0.898
B 0.557 0.575 0.102
B 0.557 0.925 0.602
Ru 0.090 0.163 0.157
Ru 0.090 0.337 0.657
Ru 0.324 0.663 0.377
Ru 0.324 0.837 0.877
Ru 0.420 0.648 0.678
Ru 0.420 0.852 0.178
Ru 0.580 0.148 0.822
Ru 0.580 0.352 0.322
Ru 0.676 0.163 0.123
Ru 0.676 0.337 0.623
Ru 0.910 0.663 0.343
Ru 0.910 0.837 0.843

Calculated values
Space-group type: No. 14
Size of the total moment: 0.0 μB per formula unit
ΔH_f (0 K): -0.293 eV/atom
Total DFT energy (no corrections): -178.1 eV/cell

=====

Record 3
LaPr2Er9 after structural relaxation. Source: Alexandria via LeMat-Bulk, functional GGA-PBE.

Lattice parameters (Å, degrees): 5.041 5.041 15.121 90.00 90.00 90.00
Sites, in units of the cell vectors:
La 0.000 0.000 0.000
Pr 0.000 0.000 0.333
Pr 0.000 0.000 0.667
Er 0.000 0.500 0.168
Er 0.000 0.500 0.500
Er 0.000 0.500 0.832
Er 0.500 0.000 0.168
Er 0.500 0.000 0.500
Er 0.500 0.000 0.832
Er 0.500 0.500 0.000
Er 0.500 0.500 0.334
Er 0.500 0.500 0.666

Calculated values
Space-group type: No. 123
Size of the total moment: 0.0 μB per formula unit
ΔH_f (0 K): 0.031 eV/atom
Total DFT energy (no corrections): -55.2 eV/cell

=====

Record 4
MnBe2Cl after structural relaxation. Source: Alexandria via LeMat-Bulk, functional GGA-PBE.

Lattice parameters (Å, degrees): 6.204 6.204 5.547 90.00 90.00 90.00
Sites, in units of the cell vectors:
Mn 0.000 0.000 0.000
Mn 0.000 0.500 0.250
Mn 0.500 0.000 0.750
Mn 0.500 0.500 0.500
Be 0.221 0.250 0.625
Be 0.250 0.721 0.875
Be 0.250 0.779 0.375
Be 0.279 0.250 0.125
Be 0.721 0.750 0.125
Be 0.750 0.221 0.375
Be 0.750 0.279 0.875
Be 0.779 0.750 0.625
Cl 0.000 0.000 0.500
Cl 0.000 0.500 0.750
Cl 0.500 0.000 0.250
Cl 0.500 0.500 0.000

Calculated values
Energy relative to the elements, uncorrected: 0.595 eV per atom
Energy relative to the lowest polymorph listed for this composition: 524 meV per atom
Space-group type: No. 122
Size of the total moment: 3.4 μB per formula unit
Total DFT energy (no corrections): -64.4 eV/cell

=====

Question: The lowest total DFT energy (no corrections) belongs to which entry?
Answer: ZrBRu3

=====

Repeat the second record exactly.
ZrBRu3 after structural relaxation. Source: Alexandria via LeMat-Bulk, functional GGA-PBE.

Lattice parameters (Å, degrees): 7.277 4.882 10.615 90.00 132.05 90.00
Sites, in units of the cell vectors:
Zr 0.145 0.164 0.445
Zr 0.145 0.336 0.945
Zr 0.855 0.664 0.055
Zr 0.855 0.836 0.555
B 0.443 0.075 0.398
B 0.443 0.425 0.898
B 0.557 0.575 0.102
B 0.557 0.925 0.602
Ru 0.090 0.163 0.157
Ru 0.090 0.337 0.657
Ru 0.324 0.663 0.377
Ru 0.324 0.837 0.877
Ru 0.420 0.648 0.678
Ru 0.420 0.852 0.178
Ru 0.580 0.148 0.822
Ru 0.580 0.352 0.322
Ru 0.676 0.163 0.123
Ru 0.676 0.337 0.623
Ru 0.910 0.663 0.343
Ru 0.910 0.837 0.843

Calculated values
Space-group type: No. 14
Size of the total moment: 0.0 μB per formula unit
ΔH_f (0 K): -0.293 eV/atom
Total DFT energy (no corrections): -178.1 eV/cell

=====

Question: Which of these has the highest total DFT energy (no corrections)?
Answer: BaCrTc2